[1]
# La2DyCo | Alexandria | PBE-GGA | optimized geometry
data_La2DyCo
_chemical_formula_sum 'La8 Dy4 Co4'
_symmetry_space_group_name_H-M 'C m c m'
_symmetry_Int_Tables_number 63
_symmetry_space_group_name_Hall '-C 2c 2'
_cell_length_a 3.762
_cell_length_b 11.962
_cell_length_c 10.076
_cell_angle_alpha 90.00
_cell_angle_beta 90.00
_cell_angle_gamma 90.00
loop_
_atom_site_label
_atom_site_fract_x
_atom_site_fract_y
_atom_site_fract_z
La1 0.000 0.138 0.074
Dy1 0.000 0.404 0.250
Co1 0.000 0.274 0.750
# DOS(E_F) ... 23.9 states/eV per cell
# Distance to the lowest polymorph of the same formula ... 0.0255 eV/atom
# Calculated volume ... 28.34 Å³/atom
# ΔH_f (0 K) ... -1.816 kcal/mol of atoms
# Total magnetization ... 0.00 Bohr magnetons per cell

=====

[2]
# Zr2MoCl | Alexandria | PBE-GGA | optimized geometry
data_Zr2MoCl
_chemical_formula_sum 'Zr2 Mo1 Cl1'
_symmetry_space_group_name_H-M 'P 4 m m'
_symmetry_Int_Tables_number 99
_symmetry_space_group_name_Hall 'P 4 -2'
_cell_length_a 3.424
_cell_length_b 3.424
_cell_length_c 7.958
_cell_angle_alpha 90.00
_cell_angle_beta 90.00
_cell_angle_gamma 90.00
loop_
_atom_site_label
_atom_site_fract_x
_atom_site_fract_y
_atom_site_fract_z
Zr1 0.000 0.000 0.000
Zr2 0.500 0.500 0.227
Mo1 0.500 0.500 0.842
Cl1 0.000 0.000 0.416
# DOS(E_F) ... 3.5 states/eV per cell
# Formation energy from raw total energies ... 6.9 kJ/mol of atoms
# Distance to the lowest polymorph of the same formula ... 0.5715 eV/atom
# Calculated volume ... 23.32 Å³/atom
# Total magnetization ... 0.01 Bohr magnetons per cell

=====

[3]
# PmY7Sc3 | Alexandria | PBE-GGA | optimized geometry
data_PmY7Sc3
_chemical_formula_sum 'Pm2 Y14 Sc6'
_symmetry_space_group_name_H-M 'I m m m'
_symmetry_Int_Tables_number 71
_symmetry_space_group_name_Hall '-I 2 2'
_cell_length_a 5.721
_cell_length_b 10.632
_cell_length_c 11.262
_cell_angle_alpha 90.00
_cell_angle_beta 90.00
_cell_angle_gamma 90.00
loop_
_atom_site_label
_atom_site_fract_x
_atom_site_fract_y
_atom_site_fract_z
Pm1 0.000 0.000 0.000
Y1 0.000 0.192 0.297
Y2 0.000 0.307 0.000
Y3 0.000 0.500 0.500
Sc1 0.000 0.000 0.500
Sc2 0.000 0.500 0.212
# DOS(E_F) ... 37.5 states/eV per cell
# Calculated volume ... 31.14 Å³/atom
# ΔH_f (0 K) ... 5.974 kcal/mol of atoms
# Total magnetization ... 0.50 Bohr magnetons per cell

=====

[4]
# Na2PuAg2Te4 | Alexandria | PBE-GGA | optimized geometry
data_Na2PuAg2Te4
_chemical_formula_sum 'Na4 Pu2 Ag4 Te8'
_symmetry_space_group_name_H-M 'C 1 2/m 1'
_symmetry_Int_Tables_number 12
_symmetry_space_group_name_Hall '-C 2y'
_cell_length_a 15.983
_cell_length_b 4.399
_cell_length_c 8.167
_cell_angle_alpha 90.00
_cell_angle_beta 114.18
_cell_angle_gamma 90.00
loop_
_atom_site_label
_atom_site_fract_x
_atom_site_fract_y
_atom_site_fract_z
Na1 0.130 0.000 0.080
Pu1 0.000 0.000 0.500
Ag1 0.184 0.500 0.491
Te1 0.000 0.500 0.236
Te2 0.210 0.000 0.731
# DOS(E_F) ... 24.1 states/eV per cell
# Formation energy from raw total energies ... -63.3 kJ/mol of atoms
# Calculated volume ... 29.10 Å³/atom
# Total magnetization ... 8.35 Bohr magnetons per cell

=====

[5]
# LaVP2S | Alexandria | PBE-GGA | optimized geometry
data_LaVP2S
_chemical_formula_sum 'La1 V1 P2 S1'
_symmetry_space_group_name_H-M 'P 4/m m m'
_symmetry_Int_Tables_number 123
_symmetry_space_group_name_Hall '-P 4 2'
_cell_length_a 5.389
_cell_length_b 5.389
_cell_length_c 5.381
_cell_angle_alpha 90.00
_cell_angle_beta 90.00
_cell_angle_gamma 90.00
loop_
_atom_site_label
_atom_site_fract_x
_atom_site_fract_y
_atom_site_fract_z
La1 0.000 0.000 0.000
V1 0.500 0.500 0.500
P1 0.000 0.500 0.000
S1 0.000 0.000 0.500
# DOS(E_F) ... 6.8 states/eV per cell
# Formation energy from raw total energies ... 81.8 kJ/mol of atoms
# Distance to the lowest polymorph of the same formula ... 1.6867 eV/atom
# Calculated volume ... 31.26 Å³/atom
# Total magnetization ... 1.46 Bohr magnetons per cell

=====

[6]
# LaUPb2S6 | Alexandria | PBE-GGA | optimized geometry
data_LaUPb2S6
_chemical_formula_sum 'La3 U3 Pb6 S18'
_symmetry_space_group_name_H-M 'R 3'
_symmetry_Int_Tables_number 146
_symmetry_space_group_name_Hall 'R 3'
_cell_length_a 7.2822
_cell_length_b 7.2822
_cell_length_c 18.7058
_cell_angle_alpha 90.00
_cell_angle_beta 90.00
_cell_angle_gamma 120.00
loop_
_atom_site_label
_atom_site_fract_x
_atom_site_fract_y
_atom_site_fract_z
La1 0.0000 0.0000 0.0000
U1 0.0000 0.0000 0.4947
Pb1 0.0000 0.0000 0.2912
Pb2 0.0000 0.0000 0.7958
S1 0.0010 0.3907 0.2347
S2 0.0648 0.6933 0.0729
# DOS(E_F) ... 0.5 states/eV per cell
# Formation energy from raw total energies ... -113.7 kJ/mol of atoms
# Calculated volume ... 28.64 Å³/atom
# Total magnetization ... 3.01 Bohr magnetons per cell